(1)
The following is a DFT calculation (PBE-GGA) of a relaxed RbCaCl3 crystal.

Calculated values
E (eV/cell): -19.1
Magnetic moment (μB per atom): 0.021

Lattice parameters (Å, degrees): 4.094 8.481 8.481 115.82 90.00 90.00
Last column: magnetic moment on the atom in μB.
Fractional coordinates of all 5 atoms:
Ca (0.000, 0.415, 0.585)  0.00
Rb (0.500, 0.069, 0.931)  0.00
Cl (0.500, 0.261, 0.350)  0.00
Cl (0.500, 0.650, 0.739)  0.00
Cl (0.000, 0.233, 0.767)  0.07

=====

(2)
The following is a DFT calculation (PBE-GGA) of a relaxed Li2InBr crystal.

Calculated values
E (eV/cell): -11.1
Energy relative to the lowest polymorph listed for this composition (meV/atom): 0
Magnetic moment (μB per atom): 0.000

Lattice parameters (Å, degrees): 3.564 3.564 8.381 77.88 77.88 60.04
Fractional coordinates of all 4 atoms:
Br (0.750, 0.750, 0.750)
In (0.250, 0.250, 0.250)
Li (0.017, 0.017, 0.952)
Li (0.483, 0.483, 0.548)

=====

(3)
The following is a DFT calculation (PBE-GGA) of a relaxed TeHF3 crystal.

Calculated values
E (eV/cell): -16.4
Energy relative to the lowest polymorph listed for this composition (meV/atom): 0
Magnetic moment (μB per atom): 0.169

Lattice parameters (Å, degrees): 4.469 4.469 4.469 90.00 90.00 90.00
Last column: magnetic moment on the atom in μB.
Fractional coordinates of all 5 atoms:
H (0.500, 0.500, 0.500)  0.38
Te (0.000, 0.000, 0.000)  -0.08
F (0.000, 0.500, 0.000)  0.01
F (0.000, 0.000, 0.500)  0.01
F (0.500, 0.000, 0.000)  0.00

=====

(4)
The following is a DFT calculation (PBE-GGA) of a relaxed Cs4PrI7 crystal.

Calculated values
E (eV/cell): -37.0
Magnetic moment (μB per atom): 0.001

Lattice parameters (Å, degrees): 6.304 10.208 14.272 61.36 77.24 72.01
Fractional coordinates of all 12 atoms:
Cs (0.514, 0.677, 0.294)
Cs (0.486, 0.323, 0.706)
Cs (0.752, 0.820, 0.676)
Cs (0.248, 0.180, 0.324)
Pr (0.000, 0.000, 0.000)
I (0.883, 0.360, 0.874)
I (0.117, 0.640, 0.126)
I (0.114, 0.997, 0.775)
I (0.886, 0.003, 0.225)
I (0.353, 0.754, 0.540)
I (0.500, 0.000, 0.000)
I (0.647, 0.246, 0.460)

=====

(5)
The following is a DFT calculation (PBE-GGA) of a relaxed Zn2CdPd8 crystal.

Calculated values
E (eV/cell): -47.9
Energy relative to the lowest polymorph listed for this composition (meV/atom): 60
Magnetic moment (μB per atom): 0.000

Lattice parameters (Å, degrees): 4.153 6.888 7.328 118.03 106.46 90.00
Fractional coordinates of all 11 atoms:
Zn (0.194, 0.694, 0.388)
Zn (0.806, 0.306, 0.612)
Cd (0.500, 0.000, 0.000)
Pd (0.660, 0.878, 0.321)
Pd (0.340, 0.557, 0.679)
Pd (0.153, 0.153, 0.305)
Pd (0.000, 0.304, 0.000)
Pd (0.847, 0.847, 0.695)
Pd (0.660, 0.443, 0.321)
Pd (0.340, 0.122, 0.679)
Pd (0.000, 0.696, 0.000)

=====

(6)
The following is a DFT calculation (PBE-GGA) of a relaxed Si2P crystal.

Calculated values
E (eV/cell): -63.6
Energy relative to the lowest polymorph listed for this composition (meV/atom): 114
Magnetic moment (μB per atom): 0.000

Lattice parameters (Å, degrees): 6.568 3.723 9.950 90.00 106.34 90.00
Fractional coordinates of all 12 atoms:
Si (0.215, 0.000, 0.575)
Si (0.215, 0.500, 0.075)
Si (0.993, 0.000, 0.342)
Si (0.993, 0.500, 0.842)
Si (0.768, 0.000, 0.825)
Si (0.768, 0.500, 0.325)
Si (0.482, 0.000, 0.932)
Si (0.482, 0.500, 0.432)
P (0.064, 0.000, 0.135)
P (0.064, 0.500, 0.635)
P (0.564, 0.000, 0.585)
P (0.564, 0.500, 0.085)